Density functional theory data (PBE) for a geometry-optimized BeGaCu2 structure.

a b c (Å): 2.7541 2.7541 6.1690
angles (deg): 90.00 90.00 90.00
With the nearest neighbours (Å) after each atom.
Sites, in units of the cell vectors:
1 Cu 0.0000 0.0000 0.2120  4 Be 2.35, 1 Cu 2.62
2 Cu 0.0000 0.0000 0.7880  4 Be 2.35, 1 Cu 2.62
3 Be 0.5000 0.5000 0.0000  8 Cu 2.35
4 Ga 0.5000 0.5000 0.5000  8 Cu 2.64, 4 Ga 2.75

## Properties
M_tot: 0.000 μB/atom
E_form: -64.6 meV/atom



Density functional theory data (PBE) for a geometry-optimized BeGa4Cu15 structure.

a b c (Å): 3.7465 3.7465 17.5521
angles (deg): 90.00 90.00 90.00
With the nearest neighbours (Å) after each atom.
Sites, in units of the cell vectors:
1 Cu 0.5000 0.0000 0.5000  8 Cu 2.60-2.65, 4 Ga 2.60
2 Cu 0.5000 0.5000 0.3974  8 Cu 2.60, 4 Ga 2.65
3 Cu 0.5000 0.0000 0.7053  8 Cu 2.59-2.65, 4 Ga 2.60
4 Cu 0.5000 0.5000 0.8072  8 Cu 2.59-2.60, 4 Ga 2.65
5 Cu 0.0000 0.5000 0.0904  8 Cu 2.46-2.65, 2 Be 2.46, 2 Ga 2.58
6 Cu 0.5000 0.0000 0.9096  2 Be 2.46, 8 Cu 2.46-2.65, 2 Ga 2.58
7 Ga 0.0000 0.0000 0.1918  12 Cu 2.58-2.65
8 Be 0.0000 0.0000 0.0000  12 Cu 2.46-2.65
9 Ga 0.0000 0.0000 0.6026  12 Cu 2.60-2.65
10 Cu 0.5000 0.5000 0.0000  8 Cu 2.46, 4 Be 2.65
11 Cu 0.0000 0.5000 0.7053  8 Cu 2.59-2.65, 4 Ga 2.60
12 Cu 0.5000 0.5000 0.1928  8 Cu 2.59-2.60, 4 Ga 2.65
13 Ga 0.0000 0.0000 0.8082  12 Cu 2.58-2.65
14 Cu 0.0000 0.5000 0.2947  8 Cu 2.59-2.65, 4 Ga 2.60
15 Cu 0.5000 0.5000 0.6026  8 Cu 2.60, 4 Ga 2.65
16 Cu 0.0000 0.5000 0.9096  2 Be 2.46, 8 Cu 2.46-2.65, 2 Ga 2.58
17 Cu 0.0000 0.5000 0.5000  8 Cu 2.60-2.65, 4 Ga 2.60
18 Cu 0.5000 0.0000 0.2947  8 Cu 2.59-2.65, 4 Ga 2.60
19 Ga 0.0000 0.0000 0.3974  12 Cu 2.60-2.65
20 Cu 0.5000 0.0000 0.0904  2 Be 2.46, 8 Cu 2.46-2.65, 2 Ga 2.58

## Properties
M_tot: 0.000 μB/atom
E_form: -86.0 meV/atom



One value per record, in order, for calculated density: 7.3, 8.4 g/cm³.